No. 1
Material: Ta3Ru2W
Method: DFT, PBE
State: relaxed

The value obtained for the density of states at the Fermi level is 3.950 states/eV per cell. Its mass density is 15696 kg/m³. The calculated formation energy is -299 meV/atom. For the total energy, the calculation gives -11.48 eV per atom.

Cell and atoms, written as CIF:
```
data_Ta3Ru2W
_cell_length_a 3.209
_cell_length_b 3.209
_cell_length_c 9.544
_cell_angle_alpha 90.00
_cell_angle_beta 90.00
_cell_angle_gamma 90.00
_space_group_name_H-M_alt 'P 4/m m m'
_space_group_IT_number 123
_space_group_name_Hall '-P 4 2'
loop_
_atom_site_label
_atom_site_type_symbol
_atom_site_fract_x
_atom_site_fract_y
_atom_site_fract_z
Ta1 Ta 0.000 0.000 0.000
Ta2 Ta 0.000 0.000 0.335
Ru1 Ru 0.500 0.500 0.161
W1 W 0.500 0.500 0.500
```


No. 2
Material: La6Nd2Tl
Method: DFT, PBE
State: relaxed

The value obtained for the density of states at the Fermi level is 56.129 states/eV per cell. Its mass density is 6876 kg/m³. Its energy above the most stable polymorph in this dataset is 0.078 eV per atom. The calculated formation energy is -11 meV/atom. For the total energy, the calculation gives -4.62 eV per atom.

Cell and atoms, written as CIF:
```
data_La6Nd2Tl
_cell_length_a 13.118
_cell_length_b 15.074
_cell_length_c 6.507
_cell_angle_alpha 90.00
_cell_angle_beta 95.29
_cell_angle_gamma 90.00
_space_group_name_H-M_alt 'C 1 2/c 1'
_space_group_IT_number 15
loop_
_space_group_symop_operation_xyz
'x,y,z'
'-x,-y,-z'
'-x,y,-z+1/2'
'x,-y,z+1/2'
'x+1/2,y+1/2,z'
'-x+1/2,-y+1/2,-z'
'-x+1/2,y+1/2,-z+1/2'
'x+1/2,-y+1/2,z+1/2'
loop_
_atom_site_label
_atom_site_type_symbol
_atom_site_fract_x
_atom_site_fract_y
_atom_site_fract_z
La1 La 0.088 0.086 0.040
La2 La 0.127 0.224 0.598
La3 La 0.127 0.331 0.077
Nd1 Nd 0.212 0.442 0.554
Tl1 Tl 0.000 0.481 0.750
```


No. 3
Material: LaScSeO2
Method: DFT, PBE
State: relaxed

The value obtained for the density of states at the Fermi level is 0.000 states/eV per cell. Its formation energy from raw total energies is -2.986 eV/atom. Its mass density is 5352 kg/m³. Its energy above the most stable polymorph in this dataset is 0.000 eV per atom. For the total energy, the calculation gives -7.92 eV per atom.

Cell and atoms, written as CIF:
```
data_LaScSeO2
_cell_length_a 5.492
_cell_length_b 12.294
_cell_length_c 5.420
_cell_angle_alpha 90.00
_cell_angle_beta 90.00
_cell_angle_gamma 90.00
_space_group_name_H-M_alt 'C m c m'
_space_group_IT_number 63
_space_group_name_Hall '-C 2c 2'
loop_
_atom_site_label
_atom_site_type_symbol
_atom_site_fract_x
_atom_site_fract_y
_atom_site_fract_z
La1 La 0.000 0.112 0.250
Sc1 Sc 0.000 0.431 0.250
Se1 Se 0.000 0.250 0.750
O1 O 0.237 0.500 0.000
```


No. 4
Material: LiPdRh3
Method: DFT, PBE
State: relaxed

The value obtained for the density of states at the Fermi level is 7.837 states/eV per cell. Its mass density is 9964 kg/m³. Its energy above the most stable polymorph in this dataset is 0.000 eV per atom. The calculated formation energy is 689 meV/atom. For the total energy, the calculation gives -5.14 eV per atom.

Cell and atoms, written as CIF:
```
data_LiPdRh3
_cell_length_a 4.128
_cell_length_b 4.128
_cell_length_c 4.128
_cell_angle_alpha 90.00
_cell_angle_beta 90.00
_cell_angle_gamma 90.00
_space_group_name_H-M_alt 'P m -3 m'
_space_group_IT_number 221
_space_group_name_Hall '-P 4 2 3'
loop_
_atom_site_label
_atom_site_type_symbol
_atom_site_fract_x
_atom_site_fract_y
_atom_site_fract_z
Li1 Li 0.000 0.000 0.000
Pd1 Pd 0.500 0.500 0.500
Rh1 Rh 0.000 0.000 0.500
```


No. 5
Material: Pu2As3Rh5
Method: DFT, PBE
State: relaxed

The value obtained for the density of states at the Fermi level is 94.949 states/eV per cell. Its mass density is 11706 kg/m³. The calculated formation energy is -595 meV/atom. For the total energy, the calculation gives -8.53 eV per atom.

Cell and atoms, written as CIF:
```
data_Pu2As3Rh5
_cell_length_a 4.171
_cell_length_b 25.087
_cell_length_c 6.656
_cell_angle_alpha 90.00
_cell_angle_beta 90.00
_cell_angle_gamma 90.00
_space_group_name_H-M_alt 'C m c 21'
_space_group_IT_number 36
loop_
_space_group_symop_operation_xyz
'x,y,z'
'-x,-y,z+1/2'
'-x,y,z'
'x,-y,z+1/2'
'x+1/2,y+1/2,z'
'-x+1/2,-y+1/2,z+1/2'
'-x+1/2,y+1/2,z'
'x+1/2,-y+1/2,z+1/2'
loop_
_atom_site_label
_atom_site_type_symbol
_atom_site_fract_x
_atom_site_fract_y
_atom_site_fract_z
Pu1 Pu 0.000 0.016 0.000
Pu2 Pu 0.000 0.324 0.952
As1 As 0.000 0.111 0.233
As2 As 0.000 0.280 0.393
As3 As 0.000 0.449 0.218
Rh1 Rh 0.000 0.102 0.631
Rh2 Rh 0.000 0.202 0.108
Rh3 Rh 0.000 0.224 0.695
Rh4 Rh 0.000 0.376 0.474
Rh5 Rh 0.000 0.441 0.842
```


No. 6
Material: LaTbY2Ho2
Method: DFT, PBE
State: relaxed

The value obtained for the density of states at the Fermi level is 20.376 states/eV per cell. Its mass density is 6669 kg/m³. The calculated formation energy is 268 meV/atom. For the total energy, the calculation gives -5.01 eV per atom.

Cell and atoms, written as CIF:
```
data_LaTbY2Ho2
_cell_length_a 6.552
_cell_length_b 17.987
_cell_length_c 3.404
_cell_angle_alpha 90.00
_cell_angle_beta 90.00
_cell_angle_gamma 90.00
_space_group_name_H-M_alt 'P n n m'
_space_group_IT_number 58
loop_
_space_group_symop_operation_xyz
'x,y,z'
'-x,-y,-z'
'-x,-y,z'
'x,y,-z'
'x+1/2,-y+1/2,-z+1/2'
'-x+1/2,y+1/2,z+1/2'
'-x+1/2,y+1/2,-z+1/2'
'x+1/2,-y+1/2,z+1/2'
loop_
_atom_site_label
_atom_site_type_symbol
_atom_site_fract_x
_atom_site_fract_y
_atom_site_fract_z
La1 La 0.000 0.000 0.000
Tb1 Tb 0.000 0.500 0.000
Y1 Y 0.218 0.188 0.000
Ho1 Ho 0.215 0.353 0.500
```


> What is the formula in the second record?

La6Nd2Tl


Please write out number 2 again, unchanged.
Material: La6Nd2Tl
Method: DFT, PBE
State: relaxed

The value obtained for the density of states at the Fermi level is 56.129 states/eV per cell. Its mass density is 6876 kg/m³. Its energy above the most stable polymorph in this dataset is 0.078 eV per atom. The calculated formation energy is -11 meV/atom. For the total energy, the calculation gives -4.62 eV per atom.

Cell and atoms, written as CIF:
```
data_La6Nd2Tl
_cell_length_a 13.118
_cell_length_b 15.074
_cell_length_c 6.507
_cell_angle_alpha 90.00
_cell_angle_beta 95.29
_cell_angle_gamma 90.00
_space_group_name_H-M_alt 'C 1 2/c 1'
_space_group_IT_number 15
loop_
_space_group_symop_operation_xyz
'x,y,z'
'-x,-y,-z'
'-x,y,-z+1/2'
'x,-y,z+1/2'
'x+1/2,y+1/2,z'
'-x+1/2,-y+1/2,-z'
'-x+1/2,y+1/2,-z+1/2'
'x+1/2,-y+1/2,z+1/2'
loop_
_atom_site_label
_atom_site_type_symbol
_atom_site_fract_x
_atom_site_fract_y
_atom_site_fract_z
La1 La 0.088 0.086 0.040
La2 La 0.127 0.224 0.598
La3 La 0.127 0.331 0.077
Nd1 Nd 0.212 0.442 0.554
Tl1 Tl 0.000 0.481 0.750
```


> Which formula does entry 2 have?

La6Nd2Tl


> Which value of mass density does entry 2 give?

6876 kg/m³